Below is a relaxed structure of LiCu2Ge, with properties calculated at the PBE-GGA level.

Summary:
Raw total energy   -3.617 eV per atom

The structure in POSCAR format:
```
LiCu2Ge
1.0
5.898 0.000 0.000
0.000 5.898 0.000
0.000 0.000 5.898
Li Cu Ge
4 8 4
Direct
0.000 0.000 0.000
0.000 0.500 0.500
0.500 0.000 0.500
0.500 0.500 0.000
0.000 0.000 0.500
0.000 0.500 0.000
0.250 0.250 0.750
0.250 0.750 0.250
0.500 0.000 0.000
0.500 0.500 0.500
0.750 0.250 0.250
0.750 0.750 0.750
0.250 0.250 0.250
0.250 0.750 0.750
0.750 0.250 0.750
0.750 0.750 0.250
```

=====

Below is a relaxed structure of PrYPt, with properties calculated at the PBE-GGA level.

Summary:
Energy relative to the elements   -0.8666 eV per atom

The structure in POSCAR format:
```
PrYPt
1.0
7.268 0.000 0.000
0.000 4.864 0.000
0.000 0.000 8.927
Pr Y Pt
4 4 4
Direct
0.012 0.250 0.173
0.488 0.750 0.673
0.512 0.250 0.327
0.988 0.750 0.827
0.143 0.250 0.581
0.357 0.750 0.081
0.643 0.250 0.919
0.857 0.750 0.419
0.250 0.250 0.909
0.250 0.750 0.409
0.750 0.250 0.591
0.750 0.750 0.091
```

=====

Below is a relaxed structure of KNdPtS4, with properties calculated at the PBE-GGA level.

Summary:
Raw total energy   -5.071 eV per atom

The structure in POSCAR format:
```
KNdPtS4
1.0
6.854 0.000 0.000
0.000 6.733 0.000
-2.793 0.000 8.120
K Nd Pt S
2 2 2 8
Direct
0.240 0.000 0.055
0.760 0.500 0.945
0.206 0.994 0.548
0.794 0.494 0.452
0.272 0.460 0.368
0.728 0.960 0.632
0.003 0.742 0.719
0.026 0.714 0.285
0.444 0.580 0.190
0.493 0.663 0.589
0.507 0.163 0.411
0.556 0.080 0.810
0.974 0.214 0.715
0.997 0.242 0.281
```

=====

Below is a relaxed structure of Sc4CdPN2, with properties calculated at the PBE-GGA level.

Summary:
Raw total energy   -7.302 eV per atom

The structure in POSCAR format:
```
Sc4CdPN2
1.0
3.286 0.000 0.000
-1.643 2.846 0.000
0.000 0.000 13.576
Sc Cd P N
4 1 1 2
Direct
0.000 0.000 0.134
0.000 0.000 0.866
0.333 0.667 0.315
0.333 0.667 0.685
0.000 0.000 0.500
0.333 0.667 0.000
0.667 0.333 0.227
0.667 0.333 0.773
```

=====

Below is a relaxed structure of SrGdMg, with properties calculated at the PBE-GGA level.

Summary:
Raw total energy   -2.228 eV per atom

The structure in POSCAR format:
```
SrGdMg
1.0
7.863 0.000 0.000
0.000 7.863 0.000
0.000 0.000 7.863
Sr Gd Mg
4 4 4
Direct
0.000 0.000 0.000
0.000 0.500 0.500
0.500 0.000 0.500
0.500 0.500 0.000
0.000 0.000 0.500
0.000 0.500 0.000
0.500 0.000 0.000
0.500 0.500 0.500
0.250 0.250 0.750
0.250 0.750 0.250
0.750 0.250 0.250
0.750 0.750 0.750
```

=====

Below is a relaxed structure of Gd2CoSi4Ag, with properties calculated at the PBE-GGA level.

Summary:
Raw total energy   -5.708 eV per atom

The structure in POSCAR format:
```
Gd2CoSi4Ag
1.0
4.073 0.000 0.000
0.000 4.099 0.000
0.000 0.000 17.055
Gd Co Si Ag
4 2 8 2
Direct
0.000 0.000 0.000
0.000 0.500 0.500
0.500 0.000 0.203
0.500 0.500 0.703
0.000 0.000 0.781
0.000 0.500 0.281
0.000 0.000 0.340
0.000 0.000 0.649
0.000 0.500 0.149
0.000 0.500 0.840
0.500 0.000 0.574
0.500 0.000 0.840
0.500 0.500 0.074
0.500 0.500 0.340
0.500 0.000 0.433
0.500 0.500 0.933
```

=====

Below is a relaxed structure of KSr3Ir, with properties calculated at the PBE-GGA level.

Summary:
Raw total energy   -3.091 eV per atom

The structure in POSCAR format:
```
KSr3Ir
1.0
6.035 0.000 0.000
0.000 6.035 0.000
0.000 0.000 6.035
K Sr Ir
1 3 1
Direct
0.000 0.000 0.000
0.000 0.500 0.500
0.500 0.000 0.500
0.500 0.500 0.000
0.500 0.500 0.500
```

=====

Below is a relaxed structure of Mg3Zr3Sc2, with properties calculated at the PBE-GGA level.

Summary:
Raw total energy   -5.303 eV per atom

The structure in POSCAR format:
```
Mg3Zr3Sc2
1.0
6.344 0.000 0.000
0.000 5.138 0.000
-3.106 0.000 5.598
Mg Zr Sc
3 3 2
Direct
0.000 0.000 0.000
0.170 0.500 0.825
0.667 0.500 0.322
0.503 0.000 0.508
0.670 0.500 0.811
0.988 0.000 0.494
0.171 0.500 0.327
0.510 0.000 0.998
```

=====

Below is a relaxed structure of YHo2Al5, with properties calculated at the PBE-GGA level.

Summary:
Raw total energy   -4.578 eV per atom

The structure in POSCAR format:
```
YHo2Al5
1.0
4.832 0.000 0.000
0.000 6.640 0.000
0.000 0.000 10.777
Y Ho Al
2 4 10
Direct
0.000 0.000 0.000
0.000 0.500 0.500
0.000 0.000 0.489
0.000 0.500 0.989
0.500 0.000 0.191
0.500 0.500 0.691
0.000 0.215 0.750
0.000 0.285 0.250
0.000 0.715 0.250
0.000 0.785 0.750
0.500 0.000 0.690
0.500 0.231 0.917
0.500 0.269 0.417
0.500 0.500 0.190
0.500 0.731 0.417
0.500 0.769 0.917
```

=====

Below is a relaxed structure of TbY3Pb2C2, with properties calculated at the PBE-GGA level.

Summary:
Raw total energy   -6.734 eV per atom

The structure in POSCAR format:
```
TbY3Pb2C2
1.0
3.647 0.000 0.000
-1.823 3.158 0.000
0.000 0.000 16.166
Tb Y Pb C
1 3 2 2
Direct
0.000 0.000 0.000
0.000 0.000 0.335
0.333 0.667 0.500
0.333 0.667 0.835
0.000 0.000 0.667
0.333 0.667 0.167
0.667 0.333 0.417
0.667 0.333 0.917
```

=====

Below is a relaxed structure of Sr3Cd11, with properties calculated at the PBE-GGA level.

Summary:
Raw total energy   -1.345 eV per atom

The structure in POSCAR format:
```
Sr3Cd11
1.0
-2.437 5.152 7.161
2.437 -5.152 7.161
2.437 5.152 -7.161
Sr Cd
3 11
Direct
0.000 0.000 0.000
0.299 0.299 0.000
0.701 0.701 0.000
0.025 0.664 0.361
0.149 0.866 0.283
0.303 0.664 0.639
0.312 0.500 0.812
0.417 0.134 0.283
0.500 0.000 0.500
0.583 0.866 0.717
0.688 0.500 0.188
0.697 0.336 0.361
0.851 0.134 0.717
0.975 0.336 0.639
```

=====

Below is a relaxed structure of RbMgBiPd, with properties calculated at the PBE-GGA level.

Summary:
Raw total energy   -2.856 eV per atom

The structure in POSCAR format:
```
RbMgBiPd
1.0
7.408 0.000 0.000
0.000 7.408 0.000
0.000 0.000 7.408
Rb Mg Bi Pd
4 4 4 4
Direct
0.000 0.000 0.000
0.000 0.500 0.500
0.500 0.000 0.500
0.500 0.500 0.000
0.250 0.250 0.750
0.250 0.750 0.250
0.750 0.250 0.250
0.750 0.750 0.750
0.250 0.250 0.250
0.250 0.750 0.750
0.750 0.250 0.750
0.750 0.750 0.250
0.000 0.000 0.500
0.000 0.500 0.000
0.500 0.000 0.000
0.500 0.500 0.500
```

=====

Below is a relaxed structure of SmSnAuS3, with properties calculated at the PBE-GGA level.

Summary:
Raw total energy   -4.961 eV per atom

The structure in POSCAR format:
```
SmSnAuS3
1.0
1.999 -6.544 0.000
1.999 6.544 0.000
0.000 0.000 10.514
Sm Sn Au S
2 2 2 6
Direct
0.000 0.000 0.000
0.000 0.000 0.500
0.243 0.757 0.750
0.757 0.243 0.250
0.465 0.535 0.250
0.535 0.465 0.750
0.094 0.906 0.250
0.354 0.646 0.059
0.354 0.646 0.441
0.646 0.354 0.559
0.646 0.354 0.941
0.906 0.094 0.750
```

=====

Below is a relaxed structure of Er3AlZn2CuAu2, with properties calculated at the PBE-GGA level.

Summary:
Raw total energy   -3.987 eV per atom

The structure in POSCAR format:
```
Er3AlZn2CuAu2
1.0
3.888 0.000 0.000
0.000 6.343 3.630
0.000 -6.343 3.630
Er Al Zn Cu Au
3 1 2 1 2
Direct
0.000 0.000 0.000
0.000 0.196 0.607
0.000 0.607 0.196
0.500 0.369 0.369
0.500 0.598 0.837
0.500 0.837 0.598
0.000 0.595 0.595
0.500 0.269 0.942
0.500 0.942 0.269
```

=====

Below is a relaxed structure of Dy2YTm2Lu2Ni2Te2, with properties calculated at the PBE-GGA level.

Summary:
Raw total energy   -5.328 eV per atom

The structure in POSCAR format:
```
Dy2YTm2Lu2Ni2Te2
1.0
-1.913 7.735 4.744
1.913 -7.735 4.744
1.913 7.735 -4.744
Dy Y Tm Lu Ni Te
2 1 2 2 2 2
Direct
0.133 0.000 0.133
0.867 0.000 0.867
0.581 0.581 0.000
0.516 0.202 0.314
0.887 0.202 0.686
0.204 0.852 0.352
0.500 0.852 0.648
0.272 0.509 0.763
0.746 0.509 0.237
0.247 0.247 0.000
0.845 0.345 0.500
```

=====

Below is a relaxed structure of HgP2Pd2O8, with properties calculated at the PBE-GGA level.

Summary:
Raw total energy   -6.018 eV per atom

The structure in POSCAR format:
```
HgP2Pd2O8
1.0
0.000 5.657 7.950
3.490 0.000 7.950
3.490 5.657 0.000
Hg P Pd O
2 4 4 16
Direct
0.125 0.125 0.125
0.875 0.875 0.875
0.079 0.079 0.671
0.329 0.329 0.921
0.671 0.671 0.079
0.921 0.921 0.329
0.000 0.500 0.500
0.500 0.000 0.500
0.500 0.500 0.000
0.500 0.500 0.500
0.019 0.251 0.503
0.088 0.456 0.153
0.153 0.802 0.088
0.198 0.847 0.544
0.251 0.019 0.727
0.273 0.497 0.749
0.456 0.088 0.802
0.497 0.273 0.981
0.503 0.727 0.019
0.544 0.912 0.198
0.727 0.503 0.251
0.749 0.981 0.273
0.802 0.153 0.456
0.847 0.198 0.912
0.912 0.544 0.847
0.981 0.749 0.497
```

=====

Below is a relaxed structure of Co, with properties calculated at the PBE-GGA level.

Summary:
Energy relative to the elements   0.1826 eV per atom

The structure in POSCAR format:
```
Co
1.0
4.587 0.000 0.000
-2.294 3.972 0.000
0.000 0.000 14.845
Co
24
Direct
0.000 0.000 0.089
0.000 0.000 0.411
0.000 0.000 0.589
0.000 0.000 0.911
0.000 0.500 0.000
0.000 0.500 0.500
0.160 0.321 0.250
0.160 0.840 0.250
0.321 0.160 0.750
0.333 0.667 0.128
0.333 0.667 0.372
0.333 0.667 0.656
0.333 0.667 0.844
0.500 0.000 0.000
0.500 0.000 0.500
0.500 0.500 0.000
0.500 0.500 0.500
0.667 0.333 0.156
0.667 0.333 0.344
0.667 0.333 0.628
0.667 0.333 0.872
0.679 0.840 0.250
0.840 0.160 0.750
0.840 0.679 0.750
```

=====

Below is a relaxed structure of YTcPd, with properties calculated at the PBE-GGA level.

Summary:
Energy relative to the elements   0.2940 eV per atom

The structure in POSCAR format:
```
YTcPd
1.0
6.446 0.000 0.000
0.000 6.446 0.000
0.000 0.000 6.446
Y Tc Pd
4 4 4
Direct
0.000 0.000 0.000
0.000 0.500 0.500
0.500 0.000 0.500
0.500 0.500 0.000
0.000 0.000 0.500
0.000 0.500 0.000
0.500 0.000 0.000
0.500 0.500 0.500
0.250 0.250 0.750
0.250 0.750 0.250
0.750 0.250 0.250
0.750 0.750 0.750
```

=====

Below is a relaxed structure of UTlMo, with properties calculated at the PBE-GGA level.

Summary:
Raw total energy   -6.712 eV per atom

The structure in POSCAR format:
```
UTlMo
1.0
6.753 0.000 0.000
0.000 6.753 0.000
0.000 0.000 6.753
U Tl Mo
4 4 4
Direct
0.000 0.000 0.000
0.000 0.500 0.500
0.500 0.000 0.500
0.500 0.500 0.000
0.250 0.250 0.250
0.250 0.750 0.750
0.750 0.250 0.750
0.750 0.750 0.250
0.250 0.250 0.750
0.250 0.750 0.250
0.750 0.250 0.250
0.750 0.750 0.750
```

=====

Below is a relaxed structure of Lu3Cu4Si2Ge2, with properties calculated at the PBE-GGA level.

Summary:
Raw total energy   -5.033 eV per atom

The structure in POSCAR format:
```
Lu3Cu4Si2Ge2
1.0
-2.038 3.279 6.805
2.038 -3.279 6.805
2.038 3.279 -6.805
Lu Cu Si Ge
3 4 2 2
Direct
0.000 0.000 0.000
0.371 0.871 0.500
0.629 0.129 0.500
0.018 0.326 0.692
0.367 0.674 0.692
0.633 0.326 0.308
0.982 0.674 0.308
0.217 0.217 0.000
0.783 0.783 0.000
0.305 0.500 0.805
0.695 0.500 0.195
```

=====

Below is a relaxed structure of Y2AlIr, with properties calculated at the PBE-GGA level.

Summary:
Raw total energy   -6.836 eV per atom

The structure in POSCAR format:
```
Y2AlIr
1.0
6.857 0.000 0.000
0.000 6.857 0.000
0.000 0.000 6.857
Y Al Ir
8 4 4
Direct
0.000 0.000 0.000
0.000 0.500 0.500
0.250 0.250 0.250
0.250 0.750 0.750
0.500 0.000 0.500
0.500 0.500 0.000
0.750 0.250 0.750
0.750 0.750 0.250
0.000 0.000 0.500
0.000 0.500 0.000
0.500 0.000 0.000
0.500 0.500 0.500
0.250 0.250 0.750
0.250 0.750 0.250
0.750 0.250 0.250
0.750 0.750 0.750
```

=====

Below is a relaxed structure of Cu10Sn, with properties calculated at the PBE-GGA level.

Summary:
Raw total energy   -3.692 eV per atom

The structure in POSCAR format:
```
Cu10Sn
1.0
4.014 -1.790 0.000
4.014 1.790 0.000
-0.110 0.000 31.965
Cu Sn
20 2
Direct
0.049 0.049 0.286
0.050 0.050 0.537
0.149 0.149 0.362
0.151 0.151 0.613
0.250 0.250 0.437
0.252 0.252 0.688
0.350 0.350 0.513
0.353 0.353 0.261
0.449 0.449 0.337
0.451 0.451 0.588
0.549 0.549 0.412
0.551 0.551 0.663
0.647 0.647 0.739
0.650 0.650 0.487
0.748 0.748 0.312
0.750 0.750 0.563
0.849 0.849 0.387
0.851 0.851 0.638
0.950 0.950 0.463
0.951 0.951 0.714
0.347 0.347 0.777
0.653 0.653 0.223
```